No. 1
{"formula": "CaAcIrBr", "functional": "PBE-GGA", "state": "optimized geometry", "cell": [[2.1234, 1.2260, 7.9486], [-2.1234, 1.2260, 7.9486], [0.0000, -2.4519, 7.9486]], "species": ["Ca", "Ac", "Ir", "Br"], "fractional_positions": [[0.0000, 0.0000, 0.0000], [0.2017, 0.2017, 0.2017], [0.5999, 0.5999, 0.5999], [0.7623, 0.7623, 0.7623]], "volume_a3_per_cell": 124.2, "e_form_raw_ev_per_fu": -3.956, "magnetic_moment_mub_per_cell": 0.0}

=====

No. 2
{"formula": "SiGeAu2", "functional": "PBE-GGA", "state": "optimized geometry", "cell": [[-2.2256, 2.2256, 7.9762], [2.2256, -2.2256, 7.9762], [2.2256, 2.2256, -7.9762]], "species": ["Si", "Si", "Ge", "Ge", "Au", "Au", "Au", "Au"], "fractional_positions": [[0.0000, 0.0000, 0.0000], [0.7500, 0.2500, 0.5000], [0.2500, 0.7500, 0.5000], [0.5000, 0.5000, 0.0000], [0.1032, 0.6250, 0.9782], [0.3750, 0.3532, 0.4782], [0.6468, 0.1250, 0.0218], [0.8750, 0.8968, 0.5218]], "volume_a3_per_cell": 158.0, "e_form_raw_ev_per_fu": 0.321, "magnetic_moment_mub_per_cell": 0.0, "e_above_lowest_polymorph_ev_per_fu": 0.00}

=====

No. 3
{"formula": "TaAu5", "functional": "PBE-GGA", "state": "optimized geometry", "cell": [[6.2702, -1.4353, 0.0000], [6.2702, 1.4353, 0.0000], [-1.5988, 0.0000, 6.0365]], "species": ["Ta", "Au", "Au", "Au", "Au", "Au"], "fractional_positions": [[0.0000, 0.0000, 0.0000], [0.0000, 0.0000, 0.5000], [0.3342, 0.3342, 0.6748], [0.3400, 0.3400, 0.1606], [0.6600, 0.6600, 0.8394], [0.6658, 0.6658, 0.3252]], "volume_a3_per_cell": 108.6, "magnetic_moment_mub_per_cell": 0.0, "e_form_ev_per_atom": 0.007}

=====

Question: What is the formula in the first record?
Answer: CaAcIrBr